DFT (GGA-PBE) results for a relaxed Li2AcCd4 crystal.

Total DFT energy (no corrections) ... -0.119 Ry/atom
Space-group type ... I4/mmm
Energy above the lowest structure with this stoichiometry ... 0.230 eV/atom
Calculated volume ... 204.3 Å³ per cell

a b c (Å): 6.5310 6.5310 6.5310
angles (deg): 117.29 117.29 94.76
Fractional coordinates of all 7 atoms:
Li: 0.2500 0.7500 0.5000
Li: 0.7500 0.2500 0.5000
Ac: 0.0000 0.0000 0.0000
Cd: 0.7864 0.5000 0.2864
Cd: 0.5000 0.7864 0.2864
Cd: 0.5000 0.2136 0.7136
Cd: 0.2136 0.5000 0.7136



DFT (GGA-PBE) results for a relaxed AlAuS2 crystal.

Total DFT energy (no corrections) ... -0.329 Ry/atom
Space-group type ... C2
Raw formation energy ... -660 meV per atom
Calculated volume ... 185.6 Å³ per cell

a b c (Å): 6.5535 6.4385 6.4383
angles (deg): 95.54 122.41 57.24
Fractional coordinates of all 8 atoms:
S: 0.3159 0.5853 0.8404
S: 0.9449 0.8284 0.1305
S: 0.8862 0.2819 0.5251
S: 0.5153 0.9428 0.3976
Au: 0.1633 0.3853 0.2196
Au: 0.6679 0.4112 0.7499
Al: 0.4155 0.6525 0.2305
Al: 0.9155 0.9108 0.4722



DFT (GGA-PBE) results for a relaxed RuAu3 crystal.

Total DFT energy (no corrections) ... -0.331 Ry/atom
Space-group type ... Cmcm
Calculated volume ... 137.9 Å³ per cell

a b c (Å): 5.9540 5.9540 3.8926
angles (deg): 90.00 90.00 92.29
Fractional coordinates of all 8 atoms:
Ru: 0.4047 0.4047 0.2500
Ru: 0.5953 0.5953 0.7500
Au: 0.6260 0.1205 0.7500
Au: 0.1360 0.1360 0.7500
Au: 0.8795 0.3740 0.2500
Au: 0.1205 0.6260 0.7500
Au: 0.8640 0.8640 0.2500
Au: 0.3740 0.8795 0.2500



DFT (GGA-PBE) results for a relaxed OsRuRh2 crystal.

Total DFT energy (no corrections) ... -0.643 Ry/atom
Space-group type ... P4mm
Energy above the lowest structure with this stoichiometry ... 0.000 eV/atom
Calculated volume ... 56.7 Å³ per cell

a b c (Å): 2.7137 2.7137 7.6927
angles (deg): 90.00 90.00 90.00
Fractional coordinates of all 4 atoms:
Rh: 0.0000 0.0000 0.9947
Rh: 0.5000 0.5000 0.2550
Os: 0.5000 0.5000 0.7487
Ru: 0.0000 0.0000 0.5017



Q: Number 3 is which compound?
A: RuAu3